A plane-wave DFT calculation with PBE was carried out for HfBiB after structural relaxation.

**Magnetization**: 0.0 μB per formula unit
**Distance to the lowest polymorph of the same formula**: 0.000 eV per atom
**Calculated total energy**: -73.63 eV for the cell shown

a = 6.2096 Å, b = 6.2096 Å, c = 6.2096 Å
α = 90.00°, β = 90.00°, γ = 90.00°
Fractional coordinates of all 12 atoms:
Hf: 0.0000 0.0000 0.0000
Hf: 0.0000 0.5000 0.5000
Hf: 0.5000 0.0000 0.5000
Hf: 0.5000 0.5000 0.0000
Bi: 0.0000 0.0000 0.5000
Bi: 0.0000 0.5000 0.0000
Bi: 0.5000 0.0000 0.0000
Bi: 0.5000 0.5000 0.5000
B: 0.2500 0.2500 0.7500
B: 0.2500 0.7500 0.2500
B: 0.7500 0.2500 0.2500
B: 0.7500 0.7500 0.7500